# TbSmB2P2Ir2 | OQMD | PBE | relaxed
# * ρ: 9.8 g/cm³
# * energy: -7.355 eV per atom
data_TbSmB2P2Ir2
_chemical_formula_sum 'Tb1 Sm1 B2 P2 Ir2'
_cell_length_a 3.9658
_cell_length_b 3.9658
_cell_length_c 8.3585
_cell_angle_alpha 90.00
_cell_angle_beta 90.00
_cell_angle_gamma 90.00
_space_group_name_H-M_alt 'P 4 m m'
_space_group_IT_number 99
loop_
_space_group_symop_operation_xyz
'x,y,z'
'-y,x,z'
'-x,-y,z'
'y,-x,z'
'-x,y,z'
'y,x,z'
'x,-y,z'
'-y,-x,z'
loop_
_atom_site_label
_atom_site_fract_x
_atom_site_fract_y
_atom_site_fract_z
Tb1 0.0000 0.0000 0.0000
Sm1 0.5000 0.5000 0.3889
B1 0.0000 0.0000 0.5805
B2 0.5000 0.5000 0.8051
P1 0.0000 0.0000 0.3405
P2 0.5000 0.5000 0.0428
Ir1 0.0000 0.5000 0.6941